(1)
Density functional theory data (PBE-GGA) for crystalline NbSiBi3 at its relaxed geometry.

a b c (Å): 5.4842 5.4842 5.4842
angles (deg): 90.00 90.00 90.00
Last column: nearest neighbours and their distance in Å.
Fractional positions:
Nb 0.0000 0.0000 0.0000  6 Bi 2.74
Si 0.5000 0.5000 0.5000  12 Bi 3.88
Bi 0.0000 0.0000 0.5000  2 Nb 2.74
Bi 0.0000 0.5000 0.0000  2 Nb 2.74
Bi 0.5000 0.0000 0.0000  2 Nb 2.74

Values from the calculation:
crystal system = cubic
DFT total energy = -22.8 eV/cell
space group = Pm-3m, No. 221

***

(2)
Density functional theory data (PBE-GGA) for crystalline Pa3Ru4 at its relaxed geometry.

a b c (Å): 7.6462 7.6462 7.6462
angles (deg): 114.14 114.14 114.14
Last column: nearest neighbours and their distance in Å.
Fractional positions:
Pa 0.0388 0.2843 0.4258  8 Ru 2.76-3.03
Pa 0.2843 0.4258 0.0388  8 Ru 2.76-3.03
Pa 0.4258 0.0388 0.2843  8 Ru 2.76-3.03
Pa 0.5742 0.9612 0.7157  8 Ru 2.76-3.03
Pa 0.7157 0.5742 0.9612  8 Ru 2.76-3.03
Pa 0.9612 0.7157 0.5742  8 Ru 2.76-3.03
Ru 0.0000 0.0000 0.0000  2 Ru 2.82, 6 Pa 2.88
Ru 0.0401 0.5015 0.2124  6 Pa 2.76-3.03, 3 Ru 3.04-3.05
Ru 0.2124 0.0401 0.5015  6 Pa 2.76-3.03, 3 Ru 3.04-3.05
Ru 0.4985 0.7876 0.9599  6 Pa 2.76-3.03, 3 Ru 3.04-3.05
Ru 0.5000 0.5000 0.5000  2 Ru 2.82, 6 Pa 2.88
Ru 0.5015 0.2124 0.0401  6 Pa 2.76-3.03, 3 Ru 3.04-3.05
Ru 0.7876 0.9599 0.4985  6 Pa 2.76-3.03, 3 Ru 3.04-3.05
Ru 0.9599 0.4985 0.7876  6 Pa 2.76-3.03, 3 Ru 3.04-3.05

Values from the calculation:
calculated formation energy = -516 meV per atom
crystal system = trigonal
DFT total energy = -138.4 eV/cell
space group = R-3, No. 148

***

no.,D(E_F) (states/eV/atom)
1,1.164
2,0.855